Entry from the Alexandria database: an optimized crystal structure of RbNp2CrO8 (PBE+U).

Geometry as POSCAR:
```
RbNp2CrO8
1.0
-3.321 0.523 -3.294
3.155 -0.510 -3.467
-1.324 -8.726 -0.378
Rb Np Cr O
1 2 1 8
Direct
0.000 0.000 0.500
0.479 0.483 0.807
0.521 0.517 0.193
0.000 0.000 0.000
0.195 0.791 0.177
0.696 0.699 0.000
0.798 0.196 0.176
0.805 0.209 0.823
0.304 0.301 0.000
0.202 0.804 0.824
0.623 0.637 0.624
0.377 0.363 0.376
```

final energy	-8.496	eV/atom
SG	P-1